# Pm2YUP4 | the Alexandria database | PBE | relaxed
# D(E_F): 7.1 states/eV/f.u.
# total energy: -60.34 eV per formula unit
# calculated formation energy: -138 kJ/mol of atoms
# density: 6.6 g cm⁻³
data_Pm2YUP4
_cell_length_a 4.034
_cell_length_b 6.997
_cell_length_c 7.019
_cell_angle_alpha 109.19
_cell_angle_beta 90.00
_cell_angle_gamma 90.00
_symmetry_space_group_name_H-M 'P 1'
_symmetry_Int_Tables_number 1
loop_
_symmetry_equiv_pos_as_xyz
'x,y,z'
loop_
_atom_site_label
_atom_site_type_symbol
_atom_site_fract_x
_atom_site_fract_y
_atom_site_fract_z
_atom_site_occupancy
Pm1 Pm 0.500 0.000 0.500 1
Pm2 Pm 0.000 0.500 0.500 1
Y1 Y 0.500 0.500 0.000 1
U1 U 0.000 0.000 0.000 1
P1 P 0.500 0.241 0.236 1
P2 P 0.500 0.759 0.764 1
P3 P 0.000 0.247 0.762 1
P4 P 0.000 0.753 0.238 1